No. 1
VASP calculation (PBE-GGA) on a relaxed YB2Pd2 crystal.

**Space-group type**: No. 139
**E**: -6.31 eV per atom

abc: 3.9969 3.9969 5.2924
angles: 67.81 67.81 90.00
Last column: nearest neighbours and their distance in Å.
Positions (direct):
1 Y 0.0000 0.0000 0.0000  8 B 3.00, 10 Pd 3.11-3.14
2 B 0.2500 0.7500 0.5000  4 Pd 2.18
3 B 0.7500 0.2500 0.5000  4 Pd 2.18
4 Pd 0.6520 0.6520 0.6961  4 B 2.18
5 Pd 0.3480 0.3480 0.3039  4 B 2.18

=====

No. 2
VASP calculation (PBE-GGA) on a relaxed NaAlZn2F8 crystal.

**Space-group type**: No. 10
**Raw formation energy**: -2.80 eV per atom

abc: 4.7344 4.7270 6.4150
angles: 90.00 90.00 88.46
Last column: nearest neighbours and their distance in Å.
Positions (direct):
1 F 0.8093 0.1929 0.2030  1 Al 1.82
2 F 0.1907 0.8071 0.2030  1 Al 1.82
3 Na 0.0000 0.0000 0.5000  6 F 2.15-2.29
4 F 0.8093 0.1929 0.7970  1 Al 1.82
5 Zn 0.5000 0.5000 0.2507  6 F 2.02-2.19
6 Al 0.0000 0.0000 0.0000  6 F 1.82-1.91
7 F 0.6820 0.6842 0.5000  2 Zn 2.02, 1 Na 2.15
8 F 0.2822 0.2802 0.0000  1 Al 1.91
9 F 0.1907 0.8071 0.7970  1 Al 1.82
10 F 0.7178 0.7198 0.0000  1 Al 1.91
11 Zn 0.5000 0.5000 0.7493  6 F 2.02-2.19
12 F 0.3180 0.3158 0.5000  2 Zn 2.02, 1 Na 2.15

=====

No. 3
VASP calculation (PBE-GGA) on a relaxed BaPt4W crystal.

**Space-group type**: No. 216
**E**: -6.27 eV per atom

abc: 5.4815 5.4815 5.4815
angles: 60.00 60.00 60.00
Last column: nearest neighbours and their distance in Å.
Positions (direct):
1 Ba 0.0000 0.0000 0.0000  12 Pt 3.22, 4 W 3.36
2 Pt 0.8710 0.3763 0.3763  6 Pt 2.71-2.77
3 Pt 0.3763 0.3763 0.8710  6 Pt 2.71-2.77
4 Pt 0.3763 0.3763 0.3763  6 Pt 2.71-2.77
5 Pt 0.3763 0.8710 0.3763  6 Pt 2.71-2.77
6 W 0.7500 0.7500 0.7500  12 Pt 3.21, 4 Ba 3.36

=====

No. 4
VASP calculation (PBE-GGA) on a relaxed ZnCuTc crystal.

**Space-group type**: No. 8
**E above lowest polymorph**: 83 meV per atom

abc: 7.6399 2.7035 8.7526
angles: 90.00 115.04 90.00
Last column: nearest neighbours and their distance in Å.
Positions (direct):
1 Zn 0.7992 0.0000 0.9200  6 Cu 2.54-2.77, 4 Zn 2.68-2.70, 2 Tc 2.70
2 Zn 0.1263 0.5000 0.0925  3 Cu 2.57-2.61, 4 Zn 2.68-2.70, 5 Tc 2.73-2.78
3 Cu 0.9846 0.0000 0.2690  6 Zn 2.57-2.77, 4 Cu 2.63-2.70, 2 Tc 2.74
4 Zn 0.7992 0.5000 0.4200  6 Cu 2.54-2.77, 4 Zn 2.68-2.70, 2 Tc 2.70
5 Tc 0.4659 0.0000 0.2509  5 Tc 2.49-2.70, 4 Zn 2.70-2.73, 3 Cu 2.75-2.78
6 Tc 0.3250 0.0000 0.9376  5 Tc 2.49-2.70, 4 Cu 2.73-2.74, 3 Zn 2.75-2.78
7 Tc 0.3250 0.5000 0.4376  5 Tc 2.49-2.70, 4 Cu 2.73-2.74, 3 Zn 2.75-2.78
8 Cu 0.6644 0.5000 0.1006  3 Zn 2.54-2.60, 4 Cu 2.63-2.70, 5 Tc 2.73-2.78
9 Cu 0.9846 0.5000 0.7690  6 Zn 2.57-2.77, 4 Cu 2.63-2.70, 2 Tc 2.74
10 Zn 0.1263 0.0000 0.5925  3 Cu 2.57-2.61, 4 Zn 2.68-2.70, 5 Tc 2.73-2.78
11 Cu 0.6644 0.0000 0.6006  3 Zn 2.54-2.60, 4 Cu 2.63-2.70, 5 Tc 2.73-2.78
12 Tc 0.4659 0.5000 0.7509  5 Tc 2.49-2.70, 4 Zn 2.70-2.73, 3 Cu 2.75-2.78